TlAg2Cl6, optimized geometry, DFT PBE; energy above the lowest structure with this stoichiometry = 0.00 eV/f.u.; VASP energy = -23.73 eV/f.u.; ρ = 4.3 g/cm3
1.0
-3.1090 3.8156 -4.5089
-4.8159 -4.1485 -0.1899
-5.6694 6.2202 7.8925
Tl Ag Cl
2 4 12
direct
0.5000 0.5000 0.0000 Tl
0.0000 0.0000 0.5000 Tl
0.0002 0.4657 0.8222 Ag
0.4998 0.9657 0.6778 Ag
0.5002 0.0343 0.3222 Ag
0.9998 0.5343 0.1778 Ag
0.8198 0.8086 0.3156 Cl
0.8167 0.7406 0.6487 Cl
0.8200 0.7259 0.9733 Cl
0.6800 0.2259 0.5267 Cl
0.6833 0.2406 0.8513 Cl
0.6802 0.3086 0.1844 Cl
0.1802 0.1914 0.6844 Cl
0.1833 0.2594 0.3513 Cl
0.1800 0.2741 0.0267 Cl
0.3200 0.7741 0.4733 Cl
0.3167 0.7594 0.1487 Cl
0.3198 0.6914 0.8156 Cl

TlAg5Cl8, optimized geometry, DFT PBE; energy above the lowest structure with this stoichiometry = 0.13 eV/f.u.; VASP energy = -37.97 eV/f.u.; ρ = 4.4 g/cm3
1.0
7.8017 -0.7501 -2.0989
-4.7528 6.2322 -2.0989
0.4172 0.7501 8.0683
Tl Ag Cl
1 5 8
direct
0.2500 0.7500 0.5000 Tl
0.8788 0.3931 0.9596 Ag
0.6069 0.5664 0.4856 Ag
0.4336 0.9192 0.0404 Ag
0.5000 0.5000 0.0000 Ag
0.0808 0.1212 0.5144 Ag
0.1241 0.8025 0.1307 Cl
0.1975 0.3282 0.3216 Cl
0.6481 0.8315 0.2928 Cl
0.1685 0.4613 0.8166 Cl
0.6447 0.3519 0.1834 Cl
0.0066 0.8759 0.6784 Cl
0.6718 0.9934 0.8693 Cl
0.5387 0.3553 0.7072 Cl

TlAgCl3, optimized geometry, DFT PBE; VASP energy = -13.82 eV/f.u.; ρ = 4.8 g/cm3
1.0
25.5022 0.0000 -2.0711
0.0000 7.3356 0.0000
-9.0261 0.0000 3.8477
Tl Ag Cl
4 4 12
direct
0.0090 0.2181 0.4058 Tl
0.9910 0.7819 0.5942 Tl
0.4910 0.7181 0.0942 Tl
0.5090 0.2819 0.9058 Tl
0.5086 0.7547 0.6285 Ag
0.4914 0.2453 0.3715 Ag
0.9914 0.2547 0.8715 Ag
0.0086 0.7453 0.1285 Ag
0.2563 0.8533 0.8734 Cl
0.7437 0.1467 0.1266 Cl
0.2437 0.3533 0.6266 Cl
0.7563 0.6467 0.3734 Cl
0.3645 0.3614 0.2651 Cl
0.6355 0.6386 0.7349 Cl
0.1355 0.8614 0.2349 Cl
0.8645 0.1386 0.7651 Cl
0.3899 0.8875 0.5393 Cl
0.6101 0.1125 0.4607 Cl
0.1101 0.3875 0.9607 Cl
0.8899 0.6125 0.0393 Cl

TlAgCl3, optimized geometry, DFT PBE; VASP energy = -13.93 eV/f.u.; ρ = 4.3 g/cm3
1.0
5.0317 -0.0114 0.0037
2.5436 4.4467 -0.1374
-0.0105 -1.1765 7.2924
Tl Ag Cl
1 1 3
direct
0.9197 0.3587 0.9727 Tl
0.4197 0.3583 0.4729 Ag
0.9197 0.3587 0.4730 Cl
0.2783 0.6393 0.7817 Cl
0.5611 0.0777 0.1640 Cl

TlAgCl, optimized geometry, DFT PBE; energy above the lowest structure with this stoichiometry = 0.35 eV/f.u.; VASP energy = -7.53 eV/f.u.; ρ = 6.9 g/cm3
1.0
4.9153 0.0000 0.0000
2.4577 4.2568 0.0000
2.4577 1.4189 4.0133
Tl Ag Cl
1 1 1
direct
0.5000 0.5000 0.5000 Tl
0.2500 0.2500 0.2500 Ag
0.0000 0.0000 0.0000 Cl

TlAg3Cl, optimized geometry, DFT PBE; energy above the lowest structure with this stoichiometry = 0.86 eV/f.u.; VASP energy = -9.77 eV/f.u.; ρ = 6.0 g/cm3
1.0
-5.3540 0.2580 -0.4721
-0.0578 -4.9704 -2.0608
-0.5349 -2.0454 4.9483
Tl Ag Cl
1 3 1
direct
0.0000 0.0000 0.0000 Tl
0.0000 0.5000 0.0000 Ag
0.0000 0.0000 0.5000 Ag
0.5000 0.0000 0.0000 Ag
0.5000 0.5000 0.5000 Cl

TlAgCl3, optimized geometry, DFT PBE; VASP energy = -13.35 eV/f.u.; ρ = 4.1 g/cm3
1.0
-1.9515 2.7373 4.5000
1.3803 -4.3655 3.2541
4.8692 2.1422 0.8085
Tl Ag Cl
1 1 3
direct
0.0000 0.0000 0.3525 Tl
0.5000 0.5000 0.3532 Ag
0.0000 0.0000 0.8524 Cl
0.5000 0.0000 0.3528 Cl
0.0000 0.5000 0.3528 Cl

TlAg3Cl4, optimized geometry, DFT PBE; energy above the lowest structure with this stoichiometry = 0.00 eV/f.u.; VASP energy = -22.57 eV/f.u.; ρ = 5.2 g/cm3
1.0
7.5532 0.0000 0.0000
0.0000 7.5532 0.0000
0.0000 0.0000 7.5532
Tl Ag Cl
2 6 8
direct
0.0000 0.0000 0.0000 Tl
0.5000 0.5000 0.5000 Tl
0.0000 0.5000 0.2500 Ag
0.0000 0.5000 0.7500 Ag
0.2500 0.0000 0.5000 Ag
0.5000 0.2500 0.0000 Ag
0.5000 0.7500 0.0000 Ag
0.7500 0.0000 0.5000 Ag
0.2500 0.2500 0.2500 Cl
0.2500 0.7500 0.2500 Cl
0.2500 0.2500 0.7500 Cl
0.2500 0.7500 0.7500 Cl
0.7500 0.2500 0.2500 Cl
0.7500 0.2500 0.7500 Cl
0.7500 0.7500 0.2500 Cl
0.7500 0.7500 0.7500 Cl

TlAg2Cl, optimized geometry, DFT PBE; energy above the lowest structure with this stoichiometry = 0.42 eV/f.u.; VASP energy = -10.10 eV/f.u.; ρ = 8.0 g/cm3
1.0
7.7979 0.0000 0.0000
0.0000 7.7979 0.0000
3.8989 3.8989 3.0983
Tl Ag Cl
2 4 2
direct
0.0000 0.0000 0.0000 Tl
0.7500 0.2500 0.5000 Tl
0.6060 0.1250 0.2500 Ag
0.1440 0.6250 0.2500 Ag
0.3750 0.3940 0.7500 Ag
0.8750 0.8560 0.7500 Ag
0.5000 0.5000 0.0000 Cl
0.2500 0.7500 0.5000 Cl

TlAgCl3, optimized geometry, DFT PBE; VASP energy = -12.63 eV/f.u.; ρ = 3.9 g/cm3
1.0
5.0932 0.0000 0.0000
0.0000 5.0932 0.0000
2.5466 2.5466 13.5876
Tl Ag Cl
2 2 6
direct
0.0000 0.0000 0.0000 Tl
0.2500 0.7500 0.5000 Tl
0.6504 0.1504 0.6992 Ag
0.8496 0.3496 0.3008 Ag
0.6460 0.8980 0.2041 Cl
0.1020 0.3540 0.7959 Cl
0.1020 0.8501 0.7959 Cl
0.1499 0.8980 0.2041 Cl
0.3137 0.3137 0.3726 Cl
0.6863 0.6863 0.6274 Cl

TlAg2Cl, optimized geometry, DFT PBE; energy above the lowest structure with this stoichiometry = 0.28 eV/f.u.; VASP energy = -10.23 eV/f.u.; ρ = 8.4 g/cm3
1.0
6.0211 -0.0199 0.0233
2.8189 5.3206 -0.0233
-3.7326 -3.7968 2.8120
Tl Ag Cl
1 2 1
direct
0.2500 0.7500 0.5000 Tl
0.9910 0.9910 0.0000 Ag
0.5090 0.5090 0.0000 Ag
0.7500 0.2500 0.5000 Cl

TlAgCl, optimized geometry, DFT PBE; energy above the lowest structure with this stoichiometry = 0.03 eV/f.u.; VASP energy = -7.86 eV/f.u.; ρ = 7.1 g/cm3
1.0
-0.2152 -2.6065 -2.9930
2.9766 2.5717 0.1855
6.4517 -7.9327 6.4445
Ag Tl Cl
2 2 2
direct
0.6151 0.2303 0.0000 Ag
0.2745 0.5491 0.5000 Ag
0.6114 0.2227 0.3225 Tl
0.6114 0.2227 0.6775 Tl
0.2771 0.5542 0.8595 Cl
0.2771 0.5542 0.1405 Cl

TlAgCl3, optimized geometry, DFT PBE; VASP energy = -13.11 eV/f.u.; ρ = 4.2 g/cm3
1.0
2.7392 -7.5080 0.0000
2.7392 7.5080 0.0000
0.0000 0.0000 7.9669
Tl Ag Cl
2 2 6
direct
0.4242 0.5758 0.2500 Tl
0.5758 0.4242 0.7500 Tl
0.1102 0.8898 0.2500 Ag
0.8898 0.1102 0.7500 Ag
0.5121 0.0147 0.2500 Cl
0.9853 0.4879 0.2500 Cl
0.0147 0.5121 0.7500 Cl
0.4879 0.9853 0.7500 Cl
0.0000 0.0000 0.0000 Cl
0.0000 0.0000 0.5000 Cl

TlAgCl3, optimized geometry, DFT PBE; VASP energy = -13.58 eV/f.u.; ρ = 3.4 g/cm3
1.0
-0.5531 1.7235 3.5230
-4.8798 -5.3258 1.8394
6.8890 -1.9764 2.0484
Tl Ag Cl
1 1 3
direct
0.5000 0.0544 0.9456 Tl
0.0000 0.4357 0.5643 Ag
0.5000 0.2643 0.3396 Cl
0.5000 0.6604 0.7357 Cl
0.0000 0.2132 0.7868 Cl

TlAgCl2, optimized geometry, DFT PBE; VASP energy = -11.51 eV/f.u.; ρ = 5.9 g/cm3
1.0
7.8715 0.0090 0.0031
6.0192 5.0726 -0.0031
-6.8971 -2.6728 2.6922
Tl Ag Cl
1 1 2
direct
0.4541 0.4541 0.0000 Tl
0.2096 0.7096 0.5000 Ag
0.0630 0.0630 0.0000 Cl
0.7733 0.2733 0.5000 Cl

TlAgCl2, optimized geometry, DFT PBE; VASP energy = -11.64 eV/f.u.; ρ = 5.7 g/cm3
1.0
-1.4510 1.5534 3.1897
2.0744 -2.6165 2.2179
6.0949 4.0508 0.7998
Tl Ag Cl
1 1 2
direct
0.5000 0.2500 0.2500 Tl
0.5000 0.7500 0.7500 Ag
0.0000 0.8166 0.9922 Cl
0.0000 0.6834 0.5078 Cl

Tl3AgCl6, optimized geometry, DFT PBE; energy above the lowest structure with this stoichiometry = 0.89 eV/f.u.; VASP energy = -28.05 eV/f.u.; ρ = 5.0 g/cm3
1.0
-0.8901 0.9915 -7.1502
4.5463 -8.1168 -1.6915
-9.1804 -2.0994 0.8517
Tl Ag Cl
6 2 12
direct
0.4533 0.9161 0.6748 Tl
0.9533 0.6748 0.9161 Tl
0.4244 0.3849 0.6151 Tl
0.9244 0.6151 0.3849 Tl
0.9533 0.0839 0.3252 Tl
0.4533 0.3252 0.0839 Tl
0.0070 0.1578 0.8422 Ag
0.5070 0.8422 0.1578 Ag
0.1844 0.6886 0.6793 Cl
0.6844 0.6793 0.6886 Cl
0.1684 0.4294 0.9335 Cl
0.6684 0.9335 0.4294 Cl
0.2720 0.0468 0.9532 Cl
0.6697 0.1898 0.8102 Cl
0.1697 0.8102 0.1898 Cl
0.7720 0.9532 0.0468 Cl
0.1684 0.0665 0.5706 Cl
0.6684 0.5706 0.0665 Cl
0.1844 0.3207 0.3114 Cl
0.6844 0.3114 0.3207 Cl

TlAgCl3, optimized geometry, DFT PBE; VASP energy = -13.83 eV/f.u.; ρ = 4.9 g/cm3
1.0
17.5057 0.0000 1.1920
6.2687 2.5547 -2.7768
-6.2687 2.5547 2.7768
Tl Ag Cl
2 2 6
direct
0.6235 0.9858 0.0142 Tl
0.3765 0.0142 0.9858 Tl
0.9051 0.9611 0.0389 Ag
0.0949 0.0389 0.9611 Ag
0.8212 0.2836 0.7164 Cl
0.1788 0.7164 0.2836 Cl
0.9062 0.4638 0.5362 Cl
0.0938 0.5362 0.4638 Cl
0.3691 0.7933 0.2067 Cl
0.6309 0.2067 0.7933 Cl

TlAgCl3, optimized geometry, DFT PBE; VASP energy = -13.30 eV/f.u.; ρ = 4.3 g/cm3
1.0
-1.8005 3.7699 -3.3552
1.9895 -2.7437 -4.1503
-9.7545 -5.0939 -4.7675
Tl Ag Cl
2 2 6
direct
0.6581 0.1581 0.6838 Tl
0.8419 0.3419 0.3162 Tl
0.0000 0.0000 0.0000 Ag
0.2500 0.7500 0.5000 Ag
0.6479 0.9058 0.1885 Cl
0.0942 0.3521 0.8115 Cl
0.0942 0.8364 0.8115 Cl
0.1636 0.9058 0.1885 Cl
0.2580 0.2580 0.4840 Cl
0.7420 0.7420 0.5160 Cl

TlAg5Cl8, optimized geometry, DFT PBE; energy above the lowest structure with this stoichiometry = 0.00 eV/f.u.; VASP energy = -38.11 eV/f.u.; ρ = 4.7 g/cm3
1.0
-2.0036 -6.5051 4.2536
3.5390 -1.4241 7.0620
-4.1727 0.7872 6.8112
Tl Ag Cl
1 5 8
direct
0.2500 0.2500 0.2500 Tl
0.0000 0.0000 0.0000 Ag
0.6287 0.6287 0.1138 Ag
0.6287 0.6287 0.6287 Ag
0.1138 0.6287 0.6287 Ag
0.6287 0.1138 0.6287 Ag
0.3839 0.8483 0.3839 Cl
0.8483 0.3839 0.3839 Cl
0.3839 0.3839 0.3839 Cl
0.3839 0.3839 0.8483 Cl
0.8688 0.8688 0.3935 Cl
0.3935 0.8688 0.8688 Cl
0.8688 0.8688 0.8688 Cl
0.8688 0.3935 0.8688 Cl

ΔE_f (raw) values, unit meV/atom, following the record order: -509; -470; -612; -634; -157; 598; -518; -532; -46; -375; -79; -264; -470; -564; -650; -682; -702; -615; -509; -479.